Compound: NaInC
Source: the Alexandria database
Functional: PBE
Structure: optimized geometry

- Space group: Pm
- DFT total energy: -25.1 eV per cell
- Formation enthalpy at 0 K: 0.7 eV per formula unit

Unit cell a=3.5590 b=3.9097 c=9.5823 alpha=90.00 beta=100.65 gamma=90.00
Closest atoms and distances in Å follow each position.
Fractional positions:
Na: 0.0000 0.0000 0.0000  8 C 2.66-2.81
Na: 0.1495 0.5000 0.3007  2 C 2.60
In: 0.3654 0.5000 0.7276  1 C 2.24
In: 0.7751 0.0000 0.5475  4 In 3.14, 2 Na 3.51
C: 0.4830 0.5000 0.9656  1 C 1.26
C: 0.5489 0.5000 0.0994  1 C 1.26



Compound: Dy2AgHgRh
Source: the Alexandria database
Functional: PBE
Structure: optimized geometry

- Space group: P2_1/m
- DFT total energy: -44.5 eV per cell
- Formation enthalpy at 0 K: -2.5 eV per formula unit

Unit cell a=7.9106 b=3.9905 c=8.1083 alpha=90.00 beta=113.12 gamma=90.00
Closest atoms and distances in Å follow each position.
Fractional positions:
Dy: 0.0020 0.2500 0.2942  3 Rh 2.80-2.99
Dy: 0.3518 0.2500 0.1257  2 Rh 2.80
Dy: 0.6482 0.7500 0.8743  2 Rh 2.80
Dy: 0.9980 0.7500 0.7058  3 Rh 2.80-2.99
Ag: 0.3546 0.7500 0.4512  1 Rh 2.77, 2 Ag 2.91, 2 Hg 3.01
Ag: 0.6454 0.2500 0.5488  1 Rh 2.77, 2 Ag 2.91, 2 Hg 3.01
Hg: 0.3086 0.2500 0.7082  2 Ag 3.01, 6 Dy 3.16-3.28
Hg: 0.6914 0.7500 0.2918  2 Ag 3.01, 6 Dy 3.16-3.28
Rh: 0.0951 0.7500 0.1016  2 Rh 2.65, 1 Ag 2.77, 4 Dy 2.80
Rh: 0.9049 0.2500 0.8984  2 Rh 2.65, 1 Ag 2.77, 4 Dy 2.80



Compound: CsTi3Mo
Source: the Alexandria database
Functional: PBE
Structure: optimized geometry

- Space group: Pm-3m
- DFT total energy: -23.2 eV per cell
- Formation enthalpy at 0 K: 12.1 eV per formula unit

Unit cell a=4.8401 b=4.8401 c=4.8401 alpha=90.00 beta=90.00 gamma=90.00
Closest atoms and distances in Å follow each position.
Fractional positions:
Cs: 0.0000 0.0000 0.0000  6 Ti 2.42
Ti: 0.0000 0.0000 0.5000  2 Cs 2.42
Ti: 0.0000 0.5000 0.0000  2 Cs 2.42
Ti: 0.5000 0.0000 0.0000  2 Cs 2.42
Mo: 0.5000 0.5000 0.5000  12 Ti 3.42



Compound: ScNiAg2
Source: the Alexandria database
Functional: PBE
Structure: optimized geometry

- Space group: C2/m
- DFT total energy: -17.7 eV per cell
- Formation enthalpy at 0 K: 0.1 eV per formula unit

Unit cell a=5.5642 b=5.5642 c=2.9827 alpha=103.85 beta=103.85 gamma=121.27
Closest atoms and distances in Å follow each position.
Fractional positions:
Sc: 0.0000 0.0000 0.0000  4 Ni 2.73-2.90, 4 Ag 2.82, 2 Sc 2.98
Ni: 0.5000 0.5000 0.0000  4 Sc 2.73-2.90, 4 Ag 2.82, 2 Ni 2.98
Ag: 0.0000 0.5000 0.5000  6 Ag 2.73-2.98, 2 Ni 2.82, 2 Sc 2.82
Ag: 0.5000 0.0000 0.5000  6 Ag 2.73-2.98, 2 Ni 2.82, 2 Sc 2.82



Compound: Na3FeMo
Source: the Alexandria database
Functional: PBE
Structure: optimized geometry

- Space group: Pm-3m
- DFT total energy: -14.9 eV per cell
- Formation enthalpy at 0 K: 8.3 eV per formula unit

Unit cell a=5.5350 b=5.5350 c=5.5350 alpha=90.00 beta=90.00 gamma=90.00
Closest atoms and distances in Å follow each position.
Fractional positions:
Na: 0.0000 0.0000 0.5000  2 Fe 2.77
Na: 0.0000 0.5000 0.0000  2 Fe 2.77
Na: 0.5000 0.0000 0.0000  2 Fe 2.77
Fe: 0.0000 0.0000 0.0000  6 Na 2.77
Mo: 0.5000 0.5000 0.5000  12 Na 3.91



Compound: DyGa4Ru2Rh
Source: the Alexandria database
Functional: PBE
Structure: optimized geometry

- Space group: R-3m
- DFT total energy: -46.7 eV per cell
- Formation enthalpy at 0 K: -4.1 eV per formula unit

Unit cell a=8.7453 b=8.7453 c=8.7453 alpha=28.17 beta=28.17 gamma=28.17
Closest atoms and distances in Å follow each position.
Fractional positions:
Dy: 0.0000 0.0000 0.0000  8 Ga 2.96-3.30
Ga: 0.1309 0.1309 0.1309  3 Rh 2.62, 4 Ru 2.63-2.73
Ga: 0.3988 0.3988 0.3988  1 Rh 2.55, 3 Ru 2.56
Ga: 0.6012 0.6012 0.6012  1 Rh 2.55, 3 Ru 2.56
Ga: 0.8691 0.8691 0.8691  3 Rh 2.62, 4 Ru 2.63-2.73
Ru: 0.2394 0.2394 0.2394  7 Ga 2.56-2.73
Ru: 0.7606 0.7606 0.7606  7 Ga 2.56-2.73
Rh: 0.5000 0.5000 0.5000  8 Ga 2.55-2.62



Compound: Ta2BeZn
Source: the Alexandria database
Functional: PBE
Structure: optimized geometry

- Space group: F-43m
- DFT total energy: -26.6 eV per cell
- Formation enthalpy at 0 K: 2.1 eV per formula unit

Unit cell a=4.4644 b=4.4644 c=4.4644 alpha=60.00 beta=60.00 gamma=60.00
Closest atoms and distances in Å follow each position.
Fractional positions:
Ta: 0.0000 0.0000 0.0000  4 Zn 2.73, 4 Ta 2.73
Ta: 0.2500 0.2500 0.2500  4 Ta 2.73, 4 Be 2.73
Be: 0.5000 0.5000 0.5000  4 Zn 2.73, 4 Ta 2.73
Zn: 0.7500 0.7500 0.7500  4 Ta 2.73, 4 Be 2.73



Compound: CdCo2W
Source: the Alexandria database
Functional: PBE
Structure: optimized geometry

- Space group: Imm2
- DFT total energy: -26.4 eV per cell
- Formation enthalpy at 0 K: 1.7 eV per formula unit

Unit cell a=5.3697 b=5.3697 c=5.3697 alpha=150.78 beta=130.70 gamma=58.34
Closest atoms and distances in Å follow each position.
Fractional positions:
Cd: 0.0000 0.0000 0.0000  6 Co 2.63-2.84, 2 Cd 2.71
Co: 0.2668 0.7668 0.5000  2 Co 2.40, 4 W 2.67
Co: 0.4777 0.4777 0.0000  2 Co 2.40, 2 W 2.58, 4 Cd 2.63
W: 0.7118 0.2118 0.5000  6 Co 2.58-2.67, 2 W 2.71



Compound: CuTe2Pb
Source: the Alexandria database
Functional: PBE
Structure: optimized geometry

- Raw formation energy: 196 meV/atom
- Space group: P4/mmm
- DFT total energy: -13.3 eV per cell

Unit cell a=3.6732 b=3.6732 c=7.6203 alpha=90.00 beta=90.00 gamma=90.00
Closest atoms and distances in Å follow each position.
Fractional positions:
Cu: 0.0000 0.0000 0.0000  8 Te 3.04
Te: 0.5000 0.5000 0.2085  4 Cu 3.04, 1 Te 3.18
Te: 0.5000 0.5000 0.7915  4 Cu 3.04, 1 Te 3.18
Pb: 0.0000 0.0000 0.5000  8 Te 3.42, 4 Pb 3.67, 2 Cu 3.81



Compound: ZrU2ReC4
Source: the Alexandria database
Functional: PBE
Structure: optimized geometry

- Space group: Cmcm
- DFT total energy: -161.4 eV per cell
- Formation enthalpy at 0 K: -0.2 eV per formula unit

Unit cell a=5.9739 b=5.9739 c=11.7176 alpha=90.00 beta=90.00 gamma=147.51
Closest atoms and distances in Å follow each position.
Fractional positions:
Zr: 0.1220 0.8780 0.7500  6 C 2.44-2.49
Zr: 0.8780 0.1220 0.2500  6 C 2.44-2.49
U: 0.3660 0.6340 0.5453  5 C 2.33-2.51
U: 0.3660 0.6340 0.9547  5 C 2.33-2.51
U: 0.6340 0.3660 0.0453  5 C 2.33-2.51
U: 0.6340 0.3660 0.4547  5 C 2.33-2.51
Re: 0.1394 0.8606 0.2500  4 C 2.07
Re: 0.8606 0.1394 0.7500  4 C 2.07
C: 0.0000 0.0000 0.0000  4 U 2.33
C: 0.0000 0.0000 0.5000  4 U 2.33
C: 0.2723 0.7277 0.1311  1 Re 2.07
C: 0.2723 0.7277 0.3689  1 Re 2.07
C: 0.4675 0.5325 0.7500  2 Re 2.07
C: 0.5325 0.4675 0.2500  2 Re 2.07
C: 0.7277 0.2723 0.6311  1 Re 2.07
C: 0.7277 0.2723 0.8689  1 Re 2.07



Compound: ZnFe2Rh
Source: the Alexandria database
Functional: PBE
Structure: optimized geometry

- Space group: Pmmm
- DFT total energy: -25.7 eV per cell
- Formation enthalpy at 0 K: -0.2 eV per formula unit

Unit cell a=2.6648 b=3.7880 c=5.1627 alpha=90.00 beta=90.00 gamma=90.00
Closest atoms and distances in Å follow each position.
Fractional positions:
Zn: 0.0000 0.0000 0.0000  2 Rh 2.58, 8 Fe 2.66, 2 Zn 2.66
Fe: 0.5000 0.5000 0.2518  4 Fe 2.56-2.66, 4 Rh 2.65, 4 Zn 2.66
Fe: 0.5000 0.5000 0.7482  4 Fe 2.56-2.66, 4 Rh 2.65, 4 Zn 2.66
Rh: 0.0000 0.0000 0.5000  2 Zn 2.58, 8 Fe 2.65, 2 Rh 2.66



Compound: Nd4Sm8Ho
Source: the Alexandria database
Functional: PBE
Structure: optimized geometry

- Space group: R-3m
- DFT total energy: -55.1 eV per cell
- Formation enthalpy at 0 K: 6.3 eV per formula unit

Unit cell a=7.8951 b=7.8951 c=7.8951 alpha=90.58 beta=90.58 gamma=90.58
Closest atoms and distances in Å follow each position.
Fractional positions:
Nd: 0.0000 0.0000 0.0000  8 Sm 3.23-3.29
Nd: 0.0000 0.5000 0.5000  8 Sm 3.46-3.48
Nd: 0.5000 0.0000 0.5000  8 Sm 3.46-3.48
Nd: 0.5000 0.5000 0.0000  8 Sm 3.46-3.48
Sm: 0.2384 0.2384 0.2384  4 Nd 3.23-3.48, 1 Ho 3.54
Sm: 0.2376 0.2376 0.7557  4 Nd 3.29-3.47, 1 Ho 3.57
Sm: 0.2376 0.7557 0.2376  4 Nd 3.29-3.47, 1 Ho 3.57
Sm: 0.2443 0.7624 0.7624  4 Nd 3.29-3.47, 1 Ho 3.57
Sm: 0.7557 0.2376 0.2376  4 Nd 3.29-3.47, 1 Ho 3.57
Sm: 0.7624 0.2443 0.7624  4 Nd 3.29-3.47, 1 Ho 3.57
Sm: 0.7624 0.7624 0.2443  4 Nd 3.29-3.47, 1 Ho 3.57
Sm: 0.7616 0.7616 0.7616  4 Nd 3.23-3.48, 1 Ho 3.54
Ho: 0.5000 0.5000 0.5000  8 Sm 3.54-3.57, 6 Nd 3.95